Record 1
Below is a crystal of CaTl2Hg relaxed with PBEsol, with properties calculated at the SCAN level.

a b c (Å): 6.370 6.370 3.590
angles (deg): 104.83 104.83 119.77
Fractional positions:
Ca1 0.000 0.000 0.000
Tl1 0.000 0.500 0.500
Tl2 0.500 0.000 0.500
Hg1 0.500 0.500 0.000

Computed properties:
Space group: C2/m
DFT total energy (eV per atom): -55.922
N(E_F) (states/eV per atom): 0.463

***

Record 2
Below is a crystal of CaTl2Hg relaxed with PBEsol, with properties calculated at the SCAN level.

a b c (Å): 3.594 4.970 6.039
angles (deg): 90.00 99.60 90.00
Fractional positions:
Ca1 0.000 0.000 0.000
Tl1 0.319 0.500 0.738
Tl2 0.681 0.500 0.262
Hg1 0.500 0.000 0.500

Computed properties:
Space group: P2/m
DFT total energy (eV per atom): -55.942
N(E_F) (states/eV per atom): 0.375

***

Record 3
Below is a crystal of CaTlHg relaxed with PBEsol, with properties calculated at the SCAN level.

a b c (Å): 5.255 5.255 6.402
angles (deg): 90.00 90.00 120.00
Fractional positions:
Ca1 0.333 0.667 0.251
Ca2 0.667 0.333 0.749
Tl1 0.000 0.000 0.000
Tl2 0.000 0.000 0.500
Hg1 0.333 0.667 0.751
Hg2 0.667 0.333 0.249

Computed properties:
Space group: P-3m1
DFT total energy (eV per atom): -50.577
N(E_F) (states/eV per atom): 0.452

***

Record 4
Below is a crystal of Ca2HgW relaxed with PBEsol, with properties calculated at the SCAN level.

a b c (Å): 10.781 10.781 10.781
angles (deg): 17.06 17.06 17.06
Fractional positions:
Ca1 0.000 0.000 0.000
Ca2 0.226 0.226 0.226
Hg1 0.482 0.482 0.482
W1 0.743 0.743 0.743

Computed properties:
Space group: R3m
DFT total energy (eV per atom): -38.549
N(E_F) (states/eV per atom): 0.266

***

Record 5
Below is a crystal of CaHg2W relaxed with PBEsol, with properties calculated at the SCAN level.

a b c (Å): 4.934 4.934 4.934
angles (deg): 60.00 60.00 60.00
Fractional positions:
Ca1 0.000 0.000 0.000
Hg1 0.500 0.500 0.500
Hg2 0.750 0.750 0.750
W1 0.250 0.250 0.250

Computed properties:
Space group: F-43m
DFT total energy (eV per atom): -53.118
N(E_F) (states/eV per atom): 0.345

***

Record 6
Below is a crystal of CaHg3W relaxed with PBEsol, with properties calculated at the SCAN level.

a b c (Å): 5.473 5.473 5.473
angles (deg): 90.00 90.00 90.00
Fractional positions:
Ca1 0.000 0.000 0.000
Hg1 0.000 0.000 0.500
Hg2 0.000 0.500 0.000
Hg3 0.500 0.000 0.000
W1 0.500 0.500 0.500

Computed properties:
Space group: Pm-3m
DFT total energy (eV per atom): -55.219
N(E_F) (states/eV per atom): 0.428

***

Record 7
Below is a crystal of Ca2HgW relaxed with PBEsol, with properties calculated at the SCAN level.

a b c (Å): 5.531 5.531 2.979
angles (deg): 90.00 90.00 90.00
Fractional positions:
Ca1 0.000 0.500 0.000
Ca2 0.500 0.000 0.000
Hg1 0.000 0.000 0.500
W1 0.500 0.500 0.500

Computed properties:
Space group: P4/mmm
DFT total energy (eV per atom): -38.680
N(E_F) (states/eV per atom): 1.198

***

Record 8
Below is a crystal of CaHgW relaxed with PBEsol, with properties calculated at the SCAN level.

a b c (Å): 4.959 4.959 2.888
angles (deg): 90.00 90.00 120.00
Fractional positions:
Ca1 0.000 0.000 0.000
Hg1 0.333 0.667 0.500
W1 0.667 0.333 0.500

Computed properties:
Space group: P-6m2
DFT total energy (eV per atom): -48.374
N(E_F) (states/eV per atom): 1.066